Entry 1:
First-principles (GGA-PBE) data for a geometry-optimized YAgSeBr2 structure, as listed in Alexandria via LeMat-Bulk. Values from VASP.

Structure (Quantum ESPRESSO input):
```
&SYSTEM
  ibrav = 0, nat = 5, ntyp = 4
/
ATOMIC_SPECIES
Y 88.91 Y.upf
Ag 107.87 Ag.upf
Se 78.96 Se.upf
Br 79.90 Br.upf
CELL_PARAMETERS angstrom
5.578 0.000 0.000
0.000 5.578 0.000
0.000 0.000 4.962
ATOMIC_POSITIONS crystal
Y 0.000 0.000 0.000
Ag 0.500 0.500 0.000
Se 0.500 0.500 0.500
Br 0.000 0.500 0.500
Br 0.500 0.000 0.500
```

Output
As for the offset from the most stable computed form: 1005 meV/atom. The formation energy from raw total energies is 0.1532 eV/atom. Its density of states at the Fermi level is 5.08 states/eV per cell. The total energy is -0.1130 Ha/atom.

***

Entry 2:
First-principles (GGA-PBE) data for a geometry-optimized YAgSeBr2 structure, as listed in Alexandria via LeMat-Bulk. Values from VASP.

Structure (Quantum ESPRESSO input):
```
&SYSTEM
  ibrav = 0, nat = 5, ntyp = 4
/
ATOMIC_SPECIES
Y 88.91 Y.upf
Ag 107.87 Ag.upf
Se 78.96 Se.upf
Br 79.90 Br.upf
CELL_PARAMETERS angstrom
5.525 0.000 0.000
0.000 5.525 0.000
0.000 0.000 5.567
ATOMIC_POSITIONS crystal
Y 0.000 0.000 0.000
Ag 0.500 0.500 0.500
Se 0.000 0.000 0.500
Br 0.000 0.500 0.000
Br 0.500 0.000 0.000
```

Output
As for the offset from the most stable computed form: 0 meV/atom. The formation energy from raw total energies is -0.8522 eV/atom. Its density of states at the Fermi level is 0.53 states/eV per cell. The total energy is -0.1500 Ha/atom.